[1]
GePt15 | PBE-GGA | relaxed

CIF file:
```
data_GePt15
_chemical_formula_sum 'Ge2 Pt30'
_symmetry_space_group_name_H-M 'P m m a'
_symmetry_Int_Tables_number 51
_symmetry_space_group_name_Hall '-P 2a 2a'
_cell_length_a 3.943
_cell_length_b 3.946
_cell_length_c 45.404
_cell_angle_alpha 90.00
_cell_angle_beta 90.00
_cell_angle_gamma 90.00
loop_
_atom_site_label
_atom_site_fract_x
_atom_site_fract_y
_atom_site_fract_z
Ge1 0.250 0.000 0.171
Pt1 0.250 0.000 0.258
Pt2 0.250 0.000 0.345
Pt3 0.250 0.000 0.434
Pt4 0.250 0.000 0.522
Pt5 0.250 0.000 0.610
Pt6 0.250 0.000 0.699
Pt7 0.250 0.000 0.788
Pt8 0.250 0.500 0.212
Pt9 0.250 0.500 0.301
Pt10 0.250 0.500 0.390
Pt11 0.250 0.500 0.478
Pt12 0.250 0.500 0.566
Pt13 0.250 0.500 0.655
Pt14 0.250 0.500 0.744
Pt15 0.250 0.500 0.832
```

Values from the calculation:
* offset from the most stable computed form: 0.0000 eV per atom

---

[2]
KTaAu | PBE-GGA | relaxed

CIF file:
```
data_KTaAu
_chemical_formula_sum 'K3 Ta3 Au3'
_symmetry_space_group_name_H-M 'P 3 m 1'
_symmetry_Int_Tables_number 156
_symmetry_space_group_name_Hall 'P 3 -2"'
_cell_length_a 4.4751
_cell_length_b 4.4751
_cell_length_c 16.6698
_cell_angle_alpha 90.00
_cell_angle_beta 90.00
_cell_angle_gamma 120.00
loop_
_atom_site_label
_atom_site_fract_x
_atom_site_fract_y
_atom_site_fract_z
K1 0.0000 0.0000 0.0000
K2 0.0000 0.0000 0.3329
K3 0.3333 0.6667 0.5868
Ta1 0.0000 0.0000 0.7585
Ta2 0.3333 0.6667 0.1596
Ta3 0.3333 0.6667 0.8331
Au1 0.6667 0.3333 0.1621
Au2 0.6667 0.3333 0.4621
Au3 0.6667 0.3333 0.7554
```

Values from the calculation:
* offset from the most stable computed form: 0.0000 eV per atom

---

[3]
Lu4In2CN | PBE-GGA | relaxed

CIF file:
```
data_Lu4In2CN
_chemical_formula_sum 'Lu4 In2 C1 N1'
_symmetry_space_group_name_H-M 'P -3 m 1'
_symmetry_Int_Tables_number 164
_symmetry_space_group_name_Hall '-P 3 2"'
_cell_length_a 3.4731
_cell_length_b 3.4731
_cell_length_c 15.6025
_cell_angle_alpha 90.00
_cell_angle_beta 90.00
_cell_angle_gamma 120.00
loop_
_atom_site_label
_atom_site_fract_x
_atom_site_fract_y
_atom_site_fract_z
Lu1 0.3333 0.6667 0.0836
Lu2 0.3333 0.6667 0.4171
In1 0.3333 0.6667 0.7476
C1 0.0000 0.0000 0.0000
N1 0.0000 0.0000 0.5000
```

---

[4]
RbNaTePd | PBE-GGA | relaxed

CIF file:
```
data_RbNaTePd
_chemical_formula_sum 'Rb4 Na4 Te4 Pd4'
_symmetry_space_group_name_H-M 'F -4 3 m'
_symmetry_Int_Tables_number 216
_symmetry_space_group_name_Hall 'F -4 2 3'
_cell_length_a 7.503
_cell_length_b 7.503
_cell_length_c 7.503
_cell_angle_alpha 90.00
_cell_angle_beta 90.00
_cell_angle_gamma 90.00
loop_
_atom_site_label
_atom_site_fract_x
_atom_site_fract_y
_atom_site_fract_z
Rb1 0.000 0.000 0.000
Na1 0.250 0.250 0.750
Te1 0.250 0.250 0.250
Pd1 0.000 0.000 0.500
```

Values from the calculation:
* offset from the most stable computed form: 0.0858 eV per atom

---

[5]
GdZn4Ir | PBE-GGA | relaxed

CIF file:
```
data_GdZn4Ir
_chemical_formula_sum 'Gd4 Zn16 Ir4'
_symmetry_space_group_name_H-M 'F -4 3 m'
_symmetry_Int_Tables_number 216
_symmetry_space_group_name_Hall 'F -4 2 3'
_cell_length_a 7.242
_cell_length_b 7.242
_cell_length_c 7.242
_cell_angle_alpha 90.00
_cell_angle_beta 90.00
_cell_angle_gamma 90.00
loop_
_atom_site_label
_atom_site_fract_x
_atom_site_fract_y
_atom_site_fract_z
Gd1 0.000 0.000 0.000
Zn1 0.124 0.124 0.376
Ir1 0.250 0.250 0.750
```

Values from the calculation:
* energy of formation from the pure elements: -9.47 kcal/mol of atoms

---

[6]
TaN | PBE-GGA | relaxed

CIF file:
```
data_TaN
_chemical_formula_sum 'Ta4 N4'
_symmetry_space_group_name_H-M 'F -4 3 m'
_symmetry_Int_Tables_number 216
_symmetry_space_group_name_Hall 'F -4 2 3'
_cell_length_a 4.746
_cell_length_b 4.746
_cell_length_c 4.746
_cell_angle_alpha 90.00
_cell_angle_beta 90.00
_cell_angle_gamma 90.00
loop_
_atom_site_label
_atom_site_fract_x
_atom_site_fract_y
_atom_site_fract_z
Ta1 0.000 0.000 0.000
N1 0.250 0.250 0.750
```

---

Number 1: total DFT energy (no corrections) -5.946 eV/atom. Number 2: total DFT energy (no corrections) -4.757 eV/atom. Number 3: total DFT energy (no corrections) -5.920 eV/atom. Number 4: total DFT energy (no corrections) -2.924 eV/atom. Number 5: total DFT energy (no corrections) -3.505 eV/atom. Number 6: total DFT energy (no corrections) -10.774 eV/atom.